[1]
Crystalline KOsS2N at its relaxed geometry. Source: the Alexandria database, functional PBE-GGA.

Unit cell a=5.454 b=5.454 c=4.609 alpha=90.00 beta=90.00 gamma=90.00
Space group P4/mmm (No. 123)
Inequivalent atoms, fractional coordinates:
K (0.000, 0.000, 0.000)
Os (0.500, 0.500, 0.500)
S (0.000, 0.500, 0.000)
N (0.000, 0.000, 0.500)

- energy above the most stable polymorph in this dataset (meV/atom) = 2750.9
- energy relative to the elements, uncorrected (eV/atom) = 2.791

***

[2]
Crystalline KOsSN2 at its relaxed geometry. Source: the Alexandria database, functional PBE-GGA.

Unit cell a=4.140 b=4.140 c=5.974 alpha=90.00 beta=90.00 gamma=90.00
Space group P4/mmm (No. 123)
Inequivalent atoms, fractional coordinates:
K (0.000, 0.000, 0.000)
Os (0.500, 0.500, 0.500)
S (0.000, 0.000, 0.500)
N (0.000, 0.500, 0.000)

- energy above the most stable polymorph in this dataset (meV/atom) = 2990.3
- energy relative to the elements, uncorrected (eV/atom) = 3.369

***

> What is the formula in the first record?

KOsS2N

***

> Look up the energy relative to the elements, uncorrected of the first one.

2.791 eV/atom